Record 1
DFT (PBE) results for crystalline Fe2ReAu at its relaxed geometry.

a b c (Å): 4.559 4.559 4.559
angles (deg): 129.53 129.50 74.18
Each line ends with the local moment (μB).
Fractional positions:
1 Au 0.250 0.750 0.500  0.02
2 Fe 0.000 0.000 0.000  2.05
3 Fe 0.500 0.500 0.000  2.05
4 Re 0.750 0.250 0.500  -0.46

Output
- Theoretical density: 14.95 Mg/m³
- E above lowest polymorph: 145 meV per atom
- Calculated total energy: -7.832 eV/atom

=====

Record 2
DFT (PBE) results for crystalline Fe2ReAu at its relaxed geometry.

a b c (Å): 4.701 4.701 4.701
angles (deg): 132.94 132.94 68.75
Each line ends with the local moment (μB).
Fractional positions:
1 Au 0.750 0.250 0.500  -0.03
2 Fe 0.000 0.000 0.000  2.19
3 Fe 0.250 0.750 0.500  1.46
4 Re 0.500 0.500 0.000  -0.33

Output
- Theoretical density: 15.03 Mg/m³
- E above lowest polymorph: 166 meV per atom
- Calculated total energy: -7.812 eV/atom

=====

Record 3
DFT (PBE) results for crystalline Fe2ReAu at its relaxed geometry.

a b c (Å): 4.224 4.224 4.224
angles (deg): 60.00 60.00 60.00
Fractional positions:
1 Re 0.000 0.000 0.000
2 Au 0.500 0.500 0.500
3 Fe 0.250 0.250 0.250
4 Fe 0.750 0.750 0.750

Output
- Theoretical density: 15.41 Mg/m³
- E above lowest polymorph: 301 meV per atom
- Calculated total energy: -7.676 eV/atom

=====

Record 4
DFT (PBE) results for crystalline Fe2ReAu at its relaxed geometry.

a b c (Å): 2.810 4.659 4.472
angles (deg): 90.00 90.00 90.00
Each line ends with the local moment (μB).
Fractional positions:
1 Au 0.000 0.500 0.500  0.02
2 Fe 0.000 0.000 0.000  2.54
3 Fe 0.500 0.500 0.000  2.92
4 Re 0.500 0.000 0.500  0.02

Output
- Theoretical density: 14.04 Mg/m³
- E above lowest polymorph: 313 meV per atom
- Calculated total energy: -7.664 eV/atom

=====

Record 5
DFT (PBE) results for crystalline Fe2ReAu at its relaxed geometry.

a b c (Å): 2.711 2.711 7.643
angles (deg): 90.00 90.00 90.00
Each line ends with the local moment (μB).
Fractional positions:
1 Au 0.500 0.500 0.750  0.11
2 Fe 0.000 0.000 0.016  2.19
3 Fe 0.000 0.000 0.484  2.19
4 Re 0.500 0.500 0.250  -0.38

Output
- Theoretical density: 14.63 Mg/m³
- E above lowest polymorph: 0 meV per atom
- Calculated total energy: -7.977 eV/atom

=====

Record 6
DFT (PBE) results for crystalline Fe2ReAu at its relaxed geometry.

a b c (Å): 4.327 4.327 4.327
angles (deg): 60.00 60.00 60.00
Each line ends with the local moment (μB).
Fractional positions:
1 Au 0.500 0.500 0.500  -0.05
2 Fe 0.000 0.000 0.000  2.38
3 Fe 0.250 0.250 0.250  2.58
4 Re 0.750 0.750 0.750  -0.70

Output
- Theoretical density: 14.34 Mg/m³
- E above lowest polymorph: 317 meV per atom
- Calculated total energy: -7.660 eV/atom

=====

Record 7
DFT (PBE) results for crystalline Fe3ReAu at its relaxed geometry.

a b c (Å): 4.465 4.465 4.465
angles (deg): 90.00 90.00 90.00
Each line ends with the local moment (μB).
Fractional positions:
1 Re 0.000 0.000 0.000  -0.34
2 Au 0.500 0.500 0.500  -0.03
3 Fe 0.000 0.500 0.000  1.84
4 Fe 0.000 0.000 0.500  1.94
5 Fe 0.500 0.000 0.000  1.57

Output
- Theoretical density: 10.28 Mg/m³
- E above lowest polymorph: 0 meV per atom
- Calculated total energy: -6.790 eV/atom

=====

Record 8
DFT (PBE) results for crystalline Fe2ReRuAu at its relaxed geometry.

a b c (Å): 4.380 4.994 4.380
angles (deg): 90.00 90.00 90.00
Each line ends with the local moment (μB).
Fractional positions:
1 Re 0.000 0.000 0.000  -0.20
2 Au 0.000 0.500 0.000  -0.02
3 Fe 0.000 0.000 0.500  1.72
4 Fe 0.500 0.000 0.000  1.67
5 Ru 0.500 0.500 0.500  1.87

Output
- Theoretical density: 10.33 Mg/m³
- Calculated total energy: -6.584 eV/atom

=====

Record 9
DFT (PBE) results for crystalline FeRe2AuS at its relaxed geometry.

a b c (Å): 4.350 4.350 4.652
angles (deg): 90.00 90.00 90.00
Each line ends with the local moment (μB).
Fractional positions:
1 Re 0.000 0.500 0.000  -0.27
2 Re 0.500 0.000 0.000  -0.27
3 S 0.000 0.000 0.000  0.00
4 Au 0.000 0.000 0.500  -0.03
5 Fe 0.500 0.500 0.500  3.12

Output
- Formation energy from raw total energies: 1.2929 eV/atom
- Theoretical density: 12.40 Mg/m³
- Calculated total energy: -6.860 eV/atom

=====

Record 10
DFT (PBE) results for crystalline FeReAuSe2 at its relaxed geometry.

a b c (Å): 5.016 5.154 5.016
angles (deg): 90.00 90.00 90.00
Each line ends with the local moment (μB).
Fractional positions:
1 Re 0.000 0.500 0.000  3.09
2 Au 0.000 0.000 0.000  0.08
3 Fe 0.500 0.500 0.500  3.30
4 Se 0.000 0.000 0.500  0.06
5 Se 0.500 0.000 0.000  0.07

Output
- Formation energy from raw total energies: 1.8260 eV/atom
- Theoretical density: 7.64 Mg/m³
- Calculated total energy: -4.405 eV/atom

=====

Record 11
DFT (PBE) results for crystalline Fe2ReSnAu at its relaxed geometry.

a b c (Å): 4.570 5.157 4.570
angles (deg): 90.00 90.00 90.00
Each line ends with the local moment (μB).
Fractional positions:
1 Re 0.000 0.000 0.000  -0.11
2 Au 0.500 0.500 0.500  0.03
3 Sn 0.000 0.500 0.000  0.03
4 Fe 0.000 0.000 0.500  2.55
5 Fe 0.500 0.000 0.000  2.21

Output
- Theoretical density: 9.46 Mg/m³
- Calculated total energy: -6.074 eV/atom

=====

Record 12
DFT (PBE) results for crystalline FeRe2TeAu at its relaxed geometry.

a b c (Å): 4.844 4.573 4.844
angles (deg): 90.00 90.00 90.00
Each line ends with the local moment (μB).
Fractional positions:
1 Re 0.000 0.000 0.500  0.05
2 Re 0.500 0.000 0.000  -0.14
3 Te 0.000 0.000 0.000  -0.04
4 Au 0.500 0.500 0.500  -0.01
5 Fe 0.000 0.500 0.000  2.44

Output
- Formation energy from raw total energies: 2.1168 eV/atom
- Theoretical density: 11.65 Mg/m³
- Calculated total energy: -5.839 eV/atom